Entry 1:
# OsC2OF | Alexandria | PBE | relaxed
data_OsC2OF
_symmetry_space_group_name_H-M 'P 1'
_symmetry_Int_Tables_number 1
_symmetry_space_group_name_Hall 'P 1'
_cell_length_a 3.7739
_cell_length_b 3.8939
_cell_length_c 3.7739
_cell_angle_alpha 90.00
_cell_angle_beta 90.00
_cell_angle_gamma 90.00
loop_
_atom_site_label
_atom_site_type_symbol
_atom_site_fract_x
_atom_site_fract_y
_atom_site_fract_z
C1 C 0.0000 0.0000 0.5000
C2 C 0.5000 0.0000 0.0000
Os1 Os 0.0000 0.5000 0.0000
O1 O 0.0000 0.0000 0.0000
F1 F 0.5000 0.5000 0.5000
# total energy = -23.901 eV/f.u.
# formation energy without anion corrections = 2.521 eV/atom
# total magnetization = 0.0 μB/f.u.
# V = 55.5 Å³/f.u.



Entry 2:
# OsCOF2 | Alexandria | PBE | relaxed
data_OsCOF2
_symmetry_space_group_name_H-M 'P 1'
_symmetry_Int_Tables_number 1
_symmetry_space_group_name_Hall 'P 1'
_cell_length_a 4.1879
_cell_length_b 4.1879
_cell_length_c 3.6994
_cell_angle_alpha 90.00
_cell_angle_beta 90.00
_cell_angle_gamma 90.00
loop_
_atom_site_label
_atom_site_type_symbol
_atom_site_fract_x
_atom_site_fract_y
_atom_site_fract_z
C1 C 0.5000 0.5000 0.5000
Os1 Os 0.0000 0.0000 0.0000
O1 O 0.0000 0.0000 0.5000
F1 F 0.0000 0.5000 0.0000
F2 F 0.5000 0.0000 0.0000
# total energy = -26.024 eV/f.u.
# formation energy without anion corrections = 0.626 eV/atom
# total magnetization = 1.8 μB/f.u.
# energy above the lowest structure with this stoichiometry = 0 meV per atom
# V = 64.9 Å³/f.u.



Entry 3:
# PaC2O6F2 | Alexandria | PBE | relaxed
data_PaC2O6F2
_symmetry_space_group_name_H-M 'P 1'
_symmetry_Int_Tables_number 1
_symmetry_space_group_name_Hall 'P 1'
_cell_length_a 5.4097
_cell_length_b 5.4097
_cell_length_c 5.9723
_cell_angle_alpha 90.00
_cell_angle_beta 90.00
_cell_angle_gamma 120.00
loop_
_atom_site_label
_atom_site_type_symbol
_atom_site_fract_x
_atom_site_fract_y
_atom_site_fract_z
Pa1 Pa 0.0000 0.0000 0.0000
C1 C 0.3333 0.6667 0.7335
C2 C 0.6667 0.3333 0.2665
O1 O 0.1946 0.3891 0.8049
O2 O 0.1945 0.8054 0.8049
O3 O 0.6109 0.8055 0.8049
O4 O 0.8054 0.6109 0.1951
O5 O 0.8055 0.1946 0.1951
O6 O 0.3891 0.1945 0.1951
F1 F 0.3333 0.6667 0.4998
F2 F 0.6667 0.3333 0.5002
# total energy = -82.193 eV/f.u.
# formation energy without anion corrections = -1.887 eV/atom
# total magnetization = 1.0 μB/f.u.
# V = 151.4 Å³/f.u.



Entry 4:
# PbCO2F | Alexandria | PBE | relaxed
data_PbCO2F
_symmetry_space_group_name_H-M 'P 1'
_symmetry_Int_Tables_number 1
_symmetry_space_group_name_Hall 'P 1'
_cell_length_a 3.5641
_cell_length_b 3.5641
_cell_length_c 4.6147
_cell_angle_alpha 90.00
_cell_angle_beta 90.00
_cell_angle_gamma 90.00
loop_
_atom_site_label
_atom_site_type_symbol
_atom_site_fract_x
_atom_site_fract_y
_atom_site_fract_z
Pb1 Pb 0.5000 0.5000 0.5000
C1 C 0.0000 0.0000 0.0000
O1 O 0.0000 0.5000 0.0000
O2 O 0.5000 0.0000 0.0000
F1 F 0.0000 0.0000 0.5000
# total energy = -24.325 eV/f.u.
# formation energy without anion corrections = 0.079 eV/atom
# total magnetization = 0.0 μB/f.u.
# V = 58.6 Å³/f.u.



Entry 5:
# PbCO2F | Alexandria | PBE | relaxed
data_PbCO2F
_symmetry_space_group_name_H-M 'P 1'
_symmetry_Int_Tables_number 1
_symmetry_space_group_name_Hall 'P 1'
_cell_length_a 4.3316
_cell_length_b 4.3316
_cell_length_c 4.3848
_cell_angle_alpha 90.00
_cell_angle_beta 90.00
_cell_angle_gamma 90.00
loop_
_atom_site_label
_atom_site_type_symbol
_atom_site_fract_x
_atom_site_fract_y
_atom_site_fract_z
Pb1 Pb 0.0000 0.0000 0.0000
C1 C 0.5000 0.5000 0.5000
O1 O 0.0000 0.5000 0.0000
O2 O 0.5000 0.0000 0.0000
F1 F 0.0000 0.0000 0.5000
# total energy = -20.508 eV/f.u.
# formation energy without anion corrections = 0.842 eV/atom
# total magnetization = 0.8 μB/f.u.
# V = 82.3 Å³/f.u.



Entry 6:
# Pb2C2O6F | Alexandria | PBE | relaxed
data_Pb2C2O6F
_symmetry_space_group_name_H-M 'P 1'
_symmetry_Int_Tables_number 1
_symmetry_space_group_name_Hall 'P 1'
_cell_length_a 5.9074
_cell_length_b 5.1463
_cell_length_c 6.6774
_cell_angle_alpha 115.13
_cell_angle_beta 100.23
_cell_angle_gamma 71.25
loop_
_atom_site_label
_atom_site_type_symbol
_atom_site_fract_x
_atom_site_fract_y
_atom_site_fract_z
Pb1 Pb 0.7392 0.2857 0.7365
Pb2 Pb 0.2608 0.7143 0.2635
C1 C 0.1117 0.7155 0.7788
C2 C 0.8883 0.2845 0.2212
O1 O 0.3180 0.6044 0.8609
O2 O 0.0831 0.2709 0.1521
O3 O 0.1008 0.8293 0.6353
O4 O 0.9169 0.7291 0.8479
O5 O 0.8992 0.1707 0.3647
O6 O 0.6820 0.3956 0.1391
F1 F 0.5000 0.0000 0.5000
# total energy = -72.439 eV/f.u.
# formation energy without anion corrections = -1.359 eV/atom
# total magnetization = 0.0 μB/f.u.
# V = 173.8 Å³/f.u.



Entry 7:
# PdCOF2 | Alexandria | PBE | relaxed
data_PdCOF2
_symmetry_space_group_name_H-M 'P 1'
_symmetry_Int_Tables_number 1
_symmetry_space_group_name_Hall 'P 1'
_cell_length_a 4.1601
_cell_length_b 4.1601
_cell_length_c 3.9092
_cell_angle_alpha 90.00
_cell_angle_beta 90.00
_cell_angle_gamma 90.00
loop_
_atom_site_label
_atom_site_type_symbol
_atom_site_fract_x
_atom_site_fract_y
_atom_site_fract_z
C1 C 0.5000 0.5000 0.5000
O1 O 0.0000 0.0000 0.5000
Pd1 Pd 0.0000 0.0000 0.0000
F1 F 0.0000 0.5000 0.0000
F2 F 0.5000 0.0000 0.0000
# total energy = -18.908 eV/f.u.
# formation energy without anion corrections = 0.842 eV/atom
# total magnetization = 0.4 μB/f.u.
# energy above the lowest structure with this stoichiometry = 494 meV per atom
# V = 67.7 Å³/f.u.



Entry 8:
# PdCOF2 | Alexandria | PBE | relaxed
data_PdCOF2
_symmetry_space_group_name_H-M 'P 1'
_symmetry_Int_Tables_number 1
_symmetry_space_group_name_Hall 'P 1'
_cell_length_a 4.4349
_cell_length_b 4.4349
_cell_length_c 2.7528
_cell_angle_alpha 90.00
_cell_angle_beta 90.00
_cell_angle_gamma 90.00
loop_
_atom_site_label
_atom_site_type_symbol
_atom_site_fract_x
_atom_site_fract_y
_atom_site_fract_z
C1 C 0.0000 0.0000 0.0000
O1 O 0.0000 0.0000 0.5000
Pd1 Pd 0.5000 0.5000 0.5000
F1 F 0.0000 0.5000 0.0000
F2 F 0.5000 0.0000 0.0000
# total energy = -21.378 eV/f.u.
# formation energy without anion corrections = 0.348 eV/atom
# total magnetization = 1.0 μB/f.u.
# energy above the lowest structure with this stoichiometry = 0 meV per atom
# V = 54.1 Å³/f.u.



- Which of these has the highest V?
  Pb2C2O6F



- Among the records above, which one has the highest total magnetization?
  OsCOF2